Entry 1:
Computed, not measured: an optimized crystal structure of Pr2Sc2SbAs at the PBE level of DFT.

CIF file:
```
data_Pr2Sc2SbAs
_chemical_formula_sum 'Pr4 Sc4 Sb2 As2'
_space_group_name_H-M_alt 'I 4 m m'
_space_group_IT_number 107
_space_group_name_Hall 'I 4 -2'
_cell_length_a 4.382
_cell_length_b 4.382
_cell_length_c 16.229
_cell_angle_alpha 90.00
_cell_angle_beta 90.00
_cell_angle_gamma 90.00
loop_
_atom_site_label
_atom_site_type_symbol
_atom_site_fract_x
_atom_site_fract_y
_atom_site_fract_z
_atom_site_occupancy
Pr1 Pr 0.000 0.000 0.000 1
Pr2 Pr 0.000 0.000 0.353 1
Sc1 Sc 0.000 0.500 0.187 1
Sb1 Sb 0.000 0.000 0.556 1
As1 As 0.000 0.000 0.803 1
```

Results
E_tot   -6.097 eV/atom


Entry 2:
Computed, not measured: an optimized crystal structure of Tb2DyNi2B2N3 at the PBE level of DFT.

CIF file:
```
data_Tb2DyNi2B2N3
_chemical_formula_sum 'Tb4 Dy2 Ni4 B4 N6'
_space_group_name_H-M_alt 'I 4/m m m'
_space_group_IT_number 139
_space_group_name_Hall '-I 4 2'
_cell_length_a 3.481
_cell_length_b 3.481
_cell_length_c 20.086
_cell_angle_alpha 90.00
_cell_angle_beta 90.00
_cell_angle_gamma 90.00
loop_
_atom_site_label
_atom_site_type_symbol
_atom_site_fract_x
_atom_site_fract_y
_atom_site_fract_z
_atom_site_occupancy
Tb1 Tb 0.000 0.000 0.123 1
Dy1 Dy 0.000 0.000 0.500 1
Ni1 Ni 0.000 0.500 0.250 1
B1 B 0.000 0.000 0.311 1
N1 N 0.000 0.000 0.000 1
N2 N 0.000 0.000 0.383 1
```

Results
E_tot   -7.549 eV/atom


Entry 3:
Computed, not measured: an optimized crystal structure of YHoC5 at the PBE level of DFT.

CIF file:
```
data_YHoC5
_chemical_formula_sum 'Y2 Ho2 C10'
_space_group_name_H-M_alt 'I m m 2'
_space_group_IT_number 44
_cell_length_a 4.366
_cell_length_b 6.061
_cell_length_c 6.583
_cell_angle_alpha 90.00
_cell_angle_beta 90.00
_cell_angle_gamma 90.00
loop_
_space_group_symop_operation_xyz
'x,y,z'
'-x,-y,z'
'-x,y,z'
'x,-y,z'
'x+1/2,y+1/2,z+1/2'
'-x+1/2,-y+1/2,z+1/2'
'-x+1/2,y+1/2,z+1/2'
'x+1/2,-y+1/2,z+1/2'
loop_
_atom_site_label
_atom_site_type_symbol
_atom_site_fract_x
_atom_site_fract_y
_atom_site_fract_z
_atom_site_occupancy
Y1 Y 0.000 0.000 0.000 1
Ho1 Ho 0.000 0.000 0.498 1
C1 C 0.000 0.283 0.745 1
C2 C 0.000 0.392 0.246 1
C3 C 0.000 0.500 0.747 1
```

Results
E_tot   -7.816 eV/atom


Entry 4:
Computed, not measured: an optimized crystal structure of PaNiW at the PBE level of DFT.

CIF file:
```
data_PaNiW
_chemical_formula_sum 'Pa4 Ni4 W4'
_space_group_name_H-M_alt 'F -4 3 m'
_space_group_IT_number 216
_space_group_name_Hall 'F -4 2 3'
_cell_length_a 6.162
_cell_length_b 6.162
_cell_length_c 6.162
_cell_angle_alpha 90.00
_cell_angle_beta 90.00
_cell_angle_gamma 90.00
loop_
_atom_site_label
_atom_site_type_symbol
_atom_site_fract_x
_atom_site_fract_y
_atom_site_fract_z
_atom_site_occupancy
Pa1 Pa 0.000 0.000 0.000 1
Ni1 Ni 0.250 0.250 0.750 1
W1 W 0.000 0.000 0.500 1
```

Results
Offset from the most stable computed form   0 meV per atom
E_form   0.485 eV per atom


- What is the formula in the first record?
  Pr2Sc2SbAs